[1]
LaSc2Rh GGA-PBE optimized geometry; VASP energy = -26.0 eV per cell; density = 5.99 g cm⁻³; total moment = 0.0 μB/cell
1.0
3.395 0.000 0.000
0.000 4.572 0.000
-1.634 0.000 5.923
La Sc Rh
1 2 1
Direct
0.000 0.000 0.000
0.378 0.500 0.712
0.622 0.500 0.288
0.000 0.000 0.500

[2]
Si4AsRh GGA-PBE optimized geometry; uncorrected formation energy = 521 meV/atom; VASP energy = -30.6 eV per cell; density = 5.21 g cm⁻³; total moment = 0.0 μB/cell
1.0
0.000 3.589 3.589
3.589 0.000 3.589
3.589 3.589 0.000
Si As Rh
4 1 1
Direct
0.125 0.125 0.125
0.125 0.125 0.625
0.125 0.625 0.125
0.625 0.125 0.125
0.750 0.750 0.750
0.500 0.500 0.500

[3]
La8Te3P3O GGA-PBE optimized geometry; uncorrected formation energy = -1598 meV/atom; VASP energy = -94.0 eV per cell; density = 5.72 g cm⁻³; total moment = 1.1 μB/cell
1.0
7.347 -4.236 0.000
7.347 4.236 0.000
-4.904 0.000 7.478
La Te P O
8 3 3 1
Direct
0.221 0.221 0.699
0.222 0.756 0.699
0.244 0.778 0.301
0.262 0.262 0.287
0.738 0.738 0.713
0.756 0.222 0.699
0.778 0.244 0.301
0.779 0.779 0.301
0.000 0.000 0.000
0.000 0.500 0.000
0.500 0.000 0.000
0.000 0.500 0.500
0.500 0.000 0.500
0.500 0.500 0.500
0.000 0.000 0.500